Entry 1:
# LiAc2Dy | Alexandria | PBE | relaxed
data_LiAc2Dy
_chemical_formula_sum 'Li3 Ac6 Dy3'
_space_group_name_H-M_alt 'R 3 m'
_space_group_IT_number 160
_space_group_name_Hall 'R 3 -2"'
_cell_length_a 3.8206
_cell_length_b 3.8206
_cell_length_c 35.2795
_cell_angle_alpha 90.00
_cell_angle_beta 90.00
_cell_angle_gamma 120.00
loop_
_atom_site_label
_atom_site_type_symbol
_atom_site_fract_x
_atom_site_fract_y
_atom_site_fract_z
Li1 Li 0.0000 0.0000 0.0000
Ac1 Ac 0.0000 0.0000 0.4165
Ac2 Ac 0.0000 0.0000 0.5847
Dy1 Dy 0.0000 0.0000 0.1674
# total magnetic moment	0.00	μB/f.u.
# electronic total energy	-3.59	eV/atom


Entry 2:
# Cu2AsSe3 | Alexandria | PBE | relaxed
data_Cu2AsSe3
_chemical_formula_sum 'Cu4 As2 Se6'
_space_group_name_H-M_alt 'C 1 2/m 1'
_space_group_IT_number 12
_cell_length_a 11.879
_cell_length_b 5.217
_cell_length_c 3.774
_cell_angle_alpha 90.00
_cell_angle_beta 108.44
_cell_angle_gamma 90.00
loop_
_space_group_symop_operation_xyz
'x,y,z'
'-x,-y,-z'
'-x,y,-z'
'x,-y,z'
'x+1/2,y+1/2,z'
'-x+1/2,-y+1/2,-z'
'-x+1/2,y+1/2,-z'
'x+1/2,-y+1/2,z'
loop_
_atom_site_label
_atom_site_type_symbol
_atom_site_fract_x
_atom_site_fract_y
_atom_site_fract_z
Cu1 Cu 0.161 0.000 0.162
As1 As 0.000 0.500 0.500
Se1 Se 0.000 0.000 0.500
Se2 Se 0.173 0.500 0.173
# total magnetic moment	0.00	μB/f.u.
# energy relative to the elements, uncorrected	-0.05	eV/atom
# electronic total energy	-3.93	eV/atom


Entry 3:
# NiIrPt2Cl | Alexandria | PBE | relaxed
data_NiIrPt2Cl
_chemical_formula_sum 'Ni1 Ir1 Pt2 Cl1'
_space_group_name_H-M_alt 'P 4/m m m'
_space_group_IT_number 123
_space_group_name_Hall '-P 4 2'
_cell_length_a 4.713
_cell_length_b 4.713
_cell_length_c 4.002
_cell_angle_alpha 90.00
_cell_angle_beta 90.00
_cell_angle_gamma 90.00
loop_
_atom_site_label
_atom_site_type_symbol
_atom_site_fract_x
_atom_site_fract_y
_atom_site_fract_z
Ni1 Ni 0.000 0.000 0.000
Ir1 Ir 0.500 0.500 0.500
Pt1 Pt 0.000 0.500 0.000
Cl1 Cl 0.000 0.000 0.500
# total magnetic moment	1.65	μB/f.u.
# energy relative to the elements, uncorrected	1.25	eV/atom
# electronic total energy	-4.46	eV/atom


Entry 4:
# LiIn2SnBr6 | Alexandria | PBE | relaxed
data_LiIn2SnBr6
_chemical_formula_sum 'Li3 In6 Sn3 Br18'
_space_group_name_H-M_alt 'R 3'
_space_group_IT_number 146
_space_group_name_Hall 'R 3'
_cell_length_a 7.5363
_cell_length_b 7.5363
_cell_length_c 21.5750
_cell_angle_alpha 90.00
_cell_angle_beta 90.00
_cell_angle_gamma 120.00
loop_
_atom_site_label
_atom_site_type_symbol
_atom_site_fract_x
_atom_site_fract_y
_atom_site_fract_z
Li1 Li 0.0000 0.0000 0.0000
In1 In 0.0000 0.0000 0.2442
In2 In 0.0000 0.0000 0.7501
Sn1 Sn 0.0000 0.0000 0.4344
Br1 Br 0.0034 0.6543 0.8363
Br2 Br 0.0351 0.3504 0.0008
# total magnetic moment	0.00	μB/f.u.
# energy relative to the elements, uncorrected	-0.83	eV/atom
# electronic total energy	-2.97	eV/atom


Entry 5:
# SrBe3Ni | Alexandria | PBE | relaxed
data_SrBe3Ni
_chemical_formula_sum 'Sr1 Be3 Ni1'
_space_group_name_H-M_alt 'P m -3 m'
_space_group_IT_number 221
_space_group_name_Hall '-P 4 2 3'
_cell_length_a 4.257
_cell_length_b 4.257
_cell_length_c 4.257
_cell_angle_alpha 90.00
_cell_angle_beta 90.00
_cell_angle_gamma 90.00
loop_
_atom_site_label
_atom_site_type_symbol
_atom_site_fract_x
_atom_site_fract_y
_atom_site_fract_z
Sr1 Sr 0.000 0.000 0.000
Be1 Be 0.000 0.500 0.500
Ni1 Ni 0.500 0.500 0.500
# total magnetic moment	0.00	μB/f.u.
# electronic total energy	-3.59	eV/atom


Entry 6:
# Rb2AcAlSe4 | Alexandria | PBE | relaxed
data_Rb2AcAlSe4
_chemical_formula_sum 'Rb8 Ac4 Al4 Se16'
_space_group_name_H-M_alt 'C 1 2/c 1'
_space_group_IT_number 15
_cell_length_a 12.624
_cell_length_b 12.659
_cell_length_c 8.483
_cell_angle_alpha 90.00
_cell_angle_beta 132.19
_cell_angle_gamma 90.00
loop_
_space_group_symop_operation_xyz
'x,y,z'
'-x,-y,-z'
'-x,y,-z+1/2'
'x,-y,z+1/2'
'x+1/2,y+1/2,z'
'-x+1/2,-y+1/2,-z'
'-x+1/2,y+1/2,-z+1/2'
'x+1/2,-y+1/2,z+1/2'
loop_
_atom_site_label
_atom_site_type_symbol
_atom_site_fract_x
_atom_site_fract_y
_atom_site_fract_z
Rb1 Rb 0.000 0.000 0.000
Rb2 Rb 0.250 0.250 0.000
Ac1 Ac 0.250 0.250 0.500
Al1 Al 0.000 0.500 0.000
Se1 Se 0.000 0.282 0.015
Se2 Se 0.189 0.495 0.440
# total magnetic moment	0.00	μB/f.u.
# energy relative to the elements, uncorrected	-1.22	eV/atom
# electronic total energy	-4.19	eV/atom


Entry 7:
# Ta2InP | Alexandria | PBE | relaxed
data_Ta2InP
_chemical_formula_sum 'Ta4 In2 P2'
_space_group_name_H-M_alt 'C 1 2/m 1'
_space_group_IT_number 12
_cell_length_a 5.895
_cell_length_b 8.409
_cell_length_c 3.040
_cell_angle_alpha 90.00
_cell_angle_beta 108.54
_cell_angle_gamma 90.00
loop_
_space_group_symop_operation_xyz
'x,y,z'
'-x,-y,-z'
'-x,y,-z'
'x,-y,z'
'x+1/2,y+1/2,z'
'-x+1/2,-y+1/2,-z'
'-x+1/2,y+1/2,-z'
'x+1/2,-y+1/2,z'
loop_
_atom_site_label
_atom_site_type_symbol
_atom_site_fract_x
_atom_site_fract_y
_atom_site_fract_z
Ta1 Ta 0.250 0.250 0.000
In1 In 0.000 0.000 0.500
P1 P 0.000 0.500 0.500
# total magnetic moment	0.00	μB/f.u.
# electronic total energy	-7.74	eV/atom


Entry 8:
# Nd2MgAg2 | Alexandria | PBE | relaxed
data_Nd2MgAg2
_chemical_formula_sum 'Nd4 Mg2 Ag4'
_space_group_name_H-M_alt 'P 4/m b m'
_space_group_IT_number 127
_space_group_name_Hall '-P 4 2ab'
_cell_length_a 8.105
_cell_length_b 8.105
_cell_length_c 4.048
_cell_angle_alpha 90.00
_cell_angle_beta 90.00
_cell_angle_gamma 90.00
loop_
_atom_site_label
_atom_site_type_symbol
_atom_site_fract_x
_atom_site_fract_y
_atom_site_fract_z
Nd1 Nd 0.170 0.330 0.000
Mg1 Mg 0.000 0.000 0.500
Ag1 Ag 0.128 0.628 0.500
# total magnetic moment	0.00	μB/f.u.
# electronic total energy	-3.61	eV/atom


> What is the electronic total energy in the eighth record?

-3.61 eV/atom


> Look up the total magnetic moment of the fourth one.

0.00 μB/f.u.


> Look up the total magnetic moment of the sixth one.

0.00 μB/f.u.


> electronic total energy of number 2 (Cu2AsSe3)?

-3.93 eV/atom